## w
The following is a PBE-GGA calculation of a geometry-optimized Sn3AsI structure, from Alexandria.

Computed properties:
* calculated density: 4674 kg/m3
* spin magnetization: 0.0 μB/f.u.
* DOS at the Fermi energy: 5.150 states/eV/f.u.

Cell lengths 5.831, 5.831, 5.831 Å; angles 90.00, 90.00, 90.00 degrees
Space group Pm-3m (No. 221)
Inequivalent atoms, fractional coordinates:
Sn  0.000  0.000  0.500 [3 per cell]
As  0.500  0.500  0.500 [1 per cell]
I  0.000  0.000  0.000 [1 per cell]



## x
The following is a PBE-GGA calculation of a geometry-optimized Sn3AsI structure, from Alexandria.

Computed properties:
* calculated density: 5297 kg/m3
* spin magnetization: 0.0 μB/f.u.
* DOS at the Fermi energy: 6.853 states/eV/f.u.

Cell lengths 5.593, 5.593, 5.593 Å; angles 90.00, 90.00, 90.00 degrees
Space group Pm-3m (No. 221)
Inequivalent atoms, fractional coordinates:
Sn  0.000  0.000  0.500 [3 per cell]
As  0.000  0.000  0.000 [1 per cell]
I  0.500  0.500  0.500 [1 per cell]



Stability check: which of them is least stable? w.



## w
The following is a PBE-GGA calculation of a geometry-optimized SnTeAsI2 structure, from Alexandria.

Computed properties:
* calculated density: 5396 kg/m3
* spin magnetization: 0.0 μB/f.u.
* DOS at the Fermi energy: 1.068 states/eV/f.u.

Cell lengths 5.537, 5.537, 5.771 Å; angles 90.00, 90.00, 90.00 degrees
Space group P4/mmm (No. 123)
Inequivalent atoms, fractional coordinates:
Sn  0.000  0.000  0.000 [1 per cell]
Te  0.500  0.500  0.000 [1 per cell]
As  0.500  0.500  0.500 [1 per cell]
I  0.000  0.500  0.500 [2 per cell]



## x
The following is a PBE-GGA calculation of a geometry-optimized SnTeAsI2 structure, from Alexandria.

Computed properties:
* calculated density: 4531 kg/m3
* spin magnetization: 1.6 μB/f.u.
* DOS at the Fermi energy: 3.016 states/eV/f.u.

Cell lengths 5.914, 5.914, 6.025 Å; angles 90.00, 90.00, 90.00 degrees
Space group P4/mmm (No. 123)
Inequivalent atoms, fractional coordinates:
Sn  0.000  0.000  0.000 [1 per cell]
Te  0.000  0.000  0.500 [1 per cell]
As  0.500  0.500  0.500 [1 per cell]
I  0.000  0.500  0.000 [2 per cell]



Stability check: which of them is least stable? x.



## w
The following is a PBE-GGA calculation of a geometry-optimized Sr4As2I5 structure, from Alexandria.

Computed properties:
* calculated density: 4318 kg/m3
* spin magnetization: 0.9 μB/f.u.
* DOS at the Fermi energy: 4.227 states/eV/f.u.

Cell lengths 4.635, 8.873, 21.223 Å; angles 90.00, 90.00, 90.00 degrees
Space group Immm (No. 71)
Inequivalent atoms, fractional coordinates:
Sr  0.000  0.000  0.201 [4 per cell]
Sr  0.000  0.282  0.500 [4 per cell]
As  0.000  0.000  0.056 [4 per cell]
I  0.000  0.235  0.331 [8 per cell]
I  0.000  0.500  0.000 [2 per cell]



## x
The following is a PBE-GGA calculation of a geometry-optimized Sr4As2I5 structure, from Alexandria.

Computed properties:
* calculated density: 3761 kg/m3
* spin magnetization: 0.2 μB/f.u.
* DOS at the Fermi energy: 4.687 states/eV/f.u.

Cell lengths 24.551, 4.477, 9.143 Å; angles 90.00, 94.18, 90.00 degrees
Space group C2/m (No. 12)
Inequivalent atoms, fractional coordinates:
Sr  0.017  0.000  0.225 [4 per cell]
Sr  0.172  0.500  0.087 [4 per cell]
As  0.047  0.500  0.970 [4 per cell]
I  0.000  0.500  0.500 [2 per cell]
I  0.149  0.000  0.335 [4 per cell]
I  0.194  0.000  0.834 [4 per cell]



Stability check: which of them is least stable? w.



## w
The following is a PBE-GGA calculation of a geometry-optimized SrAs2I structure, from Alexandria.

Computed properties:
* calculated density: 5391 kg/m3
* spin magnetization: 0.0 μB/f.u.
* DOS at the Fermi energy: 5.097 states/eV/f.u.

Cell lengths 7.657, 7.657, 7.657 Å; angles 90.00, 90.00, 90.00 degrees
Space group Fm-3m (No. 225)
Inequivalent atoms, fractional coordinates:
Sr  0.000  0.000  0.000 [4 per cell]
As  0.250  0.250  0.250 [8 per cell]
I  0.000  0.000  0.500 [4 per cell]



## x
The following is a PBE-GGA calculation of a geometry-optimized SrAs2I structure, from Alexandria.

Computed properties:
* calculated density: 4508 kg/m3
* spin magnetization: 0.0 μB/f.u.
* DOS at the Fermi energy: 2.169 states/eV/f.u.

Cell lengths 4.381, 4.381, 27.971 Å; angles 90.00, 90.00, 90.00 degrees
Space group I-42d (No. 122)
Inequivalent atoms, fractional coordinates:
Sr  0.000  0.000  0.000 [4 per cell]
As  0.164  0.250  0.625 [8 per cell]
I  0.000  0.000  0.500 [4 per cell]



Stability check: which of them is least stable? w.



## w
The following is a PBE-GGA calculation of a geometry-optimized SrTe2AsI structure, from Alexandria.

Computed properties:
* calculated density: 3845 kg/m3
* spin magnetization: 0.0 μB/f.u.
* DOS at the Fermi energy: 10.369 states/eV/f.u.

Cell lengths 6.257, 6.257, 6.008 Å; angles 90.00, 90.00, 90.00 degrees
Space group P4/mmm (No. 123)
Inequivalent atoms, fractional coordinates:
Sr  0.000  0.000  0.000 [1 per cell]
Te  0.000  0.500  0.000 [2 per cell]
As  0.500  0.500  0.500 [1 per cell]
I  0.000  0.000  0.500 [1 per cell]



## x
The following is a PBE-GGA calculation of a geometry-optimized SrTe2AsI structure, from Alexandria.

Computed properties:
* calculated density: 5132 kg/m3
* spin magnetization: 0.0 μB/f.u.
* DOS at the Fermi energy: 3.296 states/eV/f.u.

Cell lengths 5.599, 5.599, 5.622 Å; angles 90.00, 90.00, 90.00 degrees
Space group P4/mmm (No. 123)
Inequivalent atoms, fractional coordinates:
Sr  0.000  0.000  0.000 [1 per cell]
Te  0.000  0.500  0.500 [2 per cell]
As  0.500  0.500  0.500 [1 per cell]
I  0.500  0.500  0.000 [1 per cell]



Stability check: which of them is least stable? w.



## w
The following is a PBE-GGA calculation of a geometry-optimized TaAsI2 structure, from Alexandria.

Computed properties:
* calculated density: 6390 kg/m3
* spin magnetization: 0.3 μB/f.u.
* DOS at the Fermi energy: 3.787 states/eV/f.u.

Cell lengths 10.282, 10.282, 5.011 Å; angles 90.00, 90.00, 90.00 degrees
Space group I-42d (No. 122)
Inequivalent atoms, fractional coordinates:
Ta  0.000  0.000  0.000 [4 per cell]
As  0.000  0.000  0.500 [4 per cell]
I  0.103  0.750  0.125 [8 per cell]



## x
The following is a PBE-GGA calculation of a geometry-optimized TaAsI2 structure, from Alexandria.

Computed properties:
* calculated density: 9410 kg/m3
* spin magnetization: 0.0 μB/f.u.
* DOS at the Fermi energy: 3.347 states/eV/f.u.

Cell lengths 7.112, 7.112, 7.112 Å; angles 90.00, 90.00, 90.00 degrees
Space group Fm-3m (No. 225)
Inequivalent atoms, fractional coordinates:
Ta  0.000  0.000  0.000 [4 per cell]
As  0.000  0.000  0.500 [4 per cell]
I  0.250  0.250  0.250 [8 per cell]



Stability check: which of them is least stable? x.